[1]
# LiAgF3, relaxed, DFT PBE
# excess energy over the best structure of this formula in the dataset: 245 meV per atom
data_LiAgF3
_cell_length_a 3.797
_cell_length_b 3.797
_cell_length_c 3.797
_cell_angle_alpha 90.00
_cell_angle_beta 90.00
_cell_angle_gamma 90.00
_symmetry_space_group_name_H-M 'P m -3 m'
_symmetry_Int_Tables_number 221
_symmetry_space_group_name_Hall '-P 4 2 3'
loop_
_atom_site_label
_atom_site_type_symbol
_atom_site_fract_x
_atom_site_fract_y
_atom_site_fract_z
_atom_site_occupancy
Li1 Li 0.000 0.000 0.000 1
Ag1 Ag 0.500 0.500 0.500 1
F1 F 0.000 0.000 0.500 1

---

[2]
# LiAgF3, relaxed, DFT PBE
# excess energy over the best structure of this formula in the dataset: 24 meV per atom
data_LiAgF3
_cell_length_a 5.234
_cell_length_b 5.636
_cell_length_c 9.850
_cell_angle_alpha 90.00
_cell_angle_beta 121.47
_cell_angle_gamma 90.00
_symmetry_space_group_name_H-M 'P 1 21/c 1'
_symmetry_Int_Tables_number 14
loop_
_symmetry_equiv_pos_as_xyz
'x,y,z'
'-x,-y,-z'
'-x,y+1/2,-z+1/2'
'x,-y+1/2,z+1/2'
loop_
_atom_site_label
_atom_site_type_symbol
_atom_site_fract_x
_atom_site_fract_y
_atom_site_fract_z
_atom_site_occupancy
Li1 Li 0.000 0.000 0.000 1
Li2 Li 0.500 0.000 0.500 1
Ag1 Ag 0.182 0.079 0.703 1
F1 F 0.125 0.210 0.426 1
F2 F 0.221 0.717 0.421 1
F3 F 0.419 0.094 0.250 1

---

[3]
# LiAgF3, relaxed, DFT PBE
# excess energy over the best structure of this formula in the dataset: 28 meV per atom
data_LiAgF3
_cell_length_a 5.267
_cell_length_b 3.448
_cell_length_c 8.643
_cell_angle_alpha 90.00
_cell_angle_beta 93.97
_cell_angle_gamma 90.00
_symmetry_space_group_name_H-M 'P 1 21/m 1'
_symmetry_Int_Tables_number 11
loop_
_symmetry_equiv_pos_as_xyz
'x,y,z'
'-x,-y,-z'
'-x,y+1/2,-z'
'x,-y+1/2,z'
loop_
_atom_site_label
_atom_site_type_symbol
_atom_site_fract_x
_atom_site_fract_y
_atom_site_fract_z
_atom_site_occupancy
Li1 Li 0.077 0.250 0.397 1
Ag1 Ag 0.442 0.250 0.806 1
F1 F 0.067 0.250 0.622 1
F2 F 0.299 0.750 0.920 1
F3 F 0.396 0.250 0.303 1

---

[4]
## LiAg6F12 (PBE)

Data for crystalline LiAg6F12 at its relaxed geometry.

```
data_LiAg6F12
_cell_length_a 10.0941
_cell_length_b 10.0941
_cell_length_c 9.6256
_cell_angle_alpha 90.00
_cell_angle_beta 90.00
_cell_angle_gamma 120.00
_symmetry_space_group_name_H-M 'R -3'
_symmetry_Int_Tables_number 148
_symmetry_space_group_name_Hall '-R 3'
loop_
_atom_site_label
_atom_site_type_symbol
_atom_site_fract_x
_atom_site_fract_y
_atom_site_fract_z
_atom_site_occupancy
Li1 Li 0.0000 0.0000 0.0000 1
Ag1 Ag 0.0487 0.2710 0.6695 1
F1 F 0.0055 0.8275 0.1196 1
F2 F 0.0086 0.2143 0.3849 1
```

---

[5]
## LiAg3F8 (PBE)

Data for crystalline LiAg3F8 at its relaxed geometry.

```
data_LiAg3F8
_cell_length_a 5.709
_cell_length_b 6.953
_cell_length_c 9.916
_cell_angle_alpha 77.41
_cell_angle_beta 73.30
_cell_angle_gamma 65.79
_symmetry_space_group_name_H-M 'P -1'
_symmetry_Int_Tables_number 2
loop_
_symmetry_equiv_pos_as_xyz
'x,y,z'
'-x,-y,-z'
loop_
_atom_site_label
_atom_site_type_symbol
_atom_site_fract_x
_atom_site_fract_y
_atom_site_fract_z
_atom_site_occupancy
Li1 Li 0.123 0.251 0.250 1
Ag1 Ag 0.194 0.140 0.880 1
Ag2 Ag 0.287 0.640 0.380 1
Ag3 Ag 0.500 0.000 0.500 1
Ag4 Ag 0.500 0.500 0.000 1
F1 F 0.009 0.322 0.444 1
F2 F 0.038 0.118 0.722 1
F3 F 0.221 0.798 0.965 1
F4 F 0.250 0.482 0.190 1
F5 F 0.275 0.178 0.056 1
F6 F 0.376 0.382 0.779 1
F7 F 0.421 0.017 0.311 1
F8 F 0.483 0.703 0.535 1
```

---

[6]
# LiAgF3, relaxed, DFT PBE
# excess energy over the best structure of this formula in the dataset: 273 meV per atom
data_LiAgF3
_cell_length_a 4.335
_cell_length_b 4.335
_cell_length_c 4.335
_cell_angle_alpha 90.00
_cell_angle_beta 90.00
_cell_angle_gamma 90.00
_symmetry_space_group_name_H-M 'P m -3 m'
_symmetry_Int_Tables_number 221
_symmetry_space_group_name_Hall '-P 4 2 3'
loop_
_atom_site_label
_atom_site_type_symbol
_atom_site_fract_x
_atom_site_fract_y
_atom_site_fract_z
_atom_site_occupancy
Li1 Li 0.000 0.000 0.000 1
Ag1 Ag 0.500 0.500 0.500 1
F1 F 0.000 0.500 0.500 1

---

[7]
## LiAg4F6 (PBE)

Data for crystalline LiAg4F6 at its relaxed geometry.

```
data_LiAg4F6
_cell_length_a 9.549
_cell_length_b 5.950
_cell_length_c 12.275
_cell_angle_alpha 90.00
_cell_angle_beta 109.17
_cell_angle_gamma 90.00
_symmetry_space_group_name_H-M 'C 1 c 1'
_symmetry_Int_Tables_number 9
loop_
_symmetry_equiv_pos_as_xyz
'x,y,z'
'x,-y,z+1/2'
'x+1/2,y+1/2,z'
'x+1/2,-y+1/2,z+1/2'
loop_
_atom_site_label
_atom_site_type_symbol
_atom_site_fract_x
_atom_site_fract_y
_atom_site_fract_z
_atom_site_occupancy
Li1 Li 0.000 0.231 0.000 1
Ag1 Ag 0.012 0.170 0.270 1
Ag2 Ag 0.131 0.274 0.577 1
Ag3 Ag 0.282 0.310 0.922 1
Ag4 Ag 0.378 0.143 0.211 1
F1 F 0.036 0.479 0.410 1
F2 F 0.052 0.414 0.140 1
F3 F 0.188 0.060 0.019 1
F4 F 0.196 0.120 0.757 1
F5 F 0.388 0.484 0.580 1
F6 F 0.390 0.410 0.351 1
```

---

[8]
# LiAgF3, relaxed, DFT PBE
# excess energy over the best structure of this formula in the dataset: 14 meV per atom
data_LiAgF3
_cell_length_a 5.4587
_cell_length_b 5.4587
_cell_length_c 15.2234
_cell_angle_alpha 90.00
_cell_angle_beta 90.00
_cell_angle_gamma 120.00
_symmetry_space_group_name_H-M 'R 3 c'
_symmetry_Int_Tables_number 161
_symmetry_space_group_name_Hall 'R 3 -2"c'
loop_
_atom_site_label
_atom_site_type_symbol
_atom_site_fract_x
_atom_site_fract_y
_atom_site_fract_z
_atom_site_occupancy
Li1 Li 0.0000 0.0000 0.0000 1
Ag1 Ag 0.0000 0.0000 0.2124 1
F1 F 0.0105 0.3566 0.2870 1

---

no.,E_form (uncorrected) (eV per atom),N(E_F) (states/eV per cell)
1,-1.5832,7.91
2,-1.8043,6.90
3,-1.8002,8.01
4,-1.2799,19.13
5,-1.3622,8.36
6,-1.5560,1.44
7,-1.3677,21.95
8,-1.8143,18.99